1.
{
  "formula": "Mg2Zn2Au",
  "functional": "GGA-PBE",
  "state": "relaxed",
  "sg": "No. 139",
  "total_energy_ev_per_cell": -8.310,
  "magnetic_moment_mub_per_cell": 0.000,
  "dos_ef_per_ev_cell": 2.20,
  "relative_energy_mev_per_atom": 357,
  "formation_energy_ev_per_atom": 0.1410,
  "cell": [[-3.3230, -2.2011, -0.1200], [0.5293, -1.0074, 3.8219], [-4.7081, 3.2994, 3.6021]],
  "species": ["Zn", "Zn", "Au", "Mg", "Mg"],
  "frac_coords": [[0.4043, 0.4043, 0.1913], [0.5957, 0.5957, 0.8087], [0.0000, 0.0000, 0.0000], [0.7500, 0.2500, 0.5000], [0.2500, 0.7500, 0.5000]]
}

---

2.
{
  "formula": "InCuRh2S2",
  "functional": "GGA-PBE",
  "state": "relaxed",
  "sg": "No. 166",
  "total_energy_ev_per_cell": -30.829,
  "magnetic_moment_mub_per_cell": 0.000,
  "dos_ef_per_ev_cell": 5.21,
  "e_form_raw_mev_per_atom": -173,
  "cell": [[3.3457, 0.0000, 0.0000], [1.6728, 2.8974, 0.0000], [1.6728, 0.9658, 11.1790]],
  "species": ["In", "Cu", "Rh", "Rh", "S", "S"],
  "frac_coords": [[0.0000, 0.0000, 0.0000], [0.5000, 0.5000, 0.5000], [0.7317, 0.7317, 0.8050], [0.2683, 0.2683, 0.1950], [0.5650, 0.5650, 0.3049], [0.4350, 0.4350, 0.6951]]
}

---

3.
{
  "formula": "ReHgClO4",
  "functional": "GGA-PBE",
  "state": "relaxed",
  "sg": "No. 12",
  "total_energy_ev_per_cell": -85.535,
  "magnetic_moment_mub_per_cell": 0.125,
  "dos_ef_per_ev_cell": 0.00,
  "e_form_raw_mev_per_atom": -1191,
  "cell": [[6.8851, 0.0080, 0.7287], [2.2882, 6.4938, 0.7287], [2.6143, 1.8529, 7.5811]],
  "species": ["Re", "Re", "Hg", "Hg", "Cl", "Cl", "O", "O", "O", "O", "O", "O", "O", "O"],
  "frac_coords": [[0.6199, 0.6199, 0.6926], [0.3801, 0.3801, 0.3074], [0.1989, 0.1989, 0.8380], [0.8011, 0.8011, 0.1620], [0.0643, 0.0643, 0.1662], [0.9357, 0.9357, 0.8338], [0.3439, 0.3439, 0.5456], [0.6561, 0.6561, 0.4544], [0.1324, 0.4889, 0.2643], [0.5570, 0.5570, 0.1589], [0.5111, 0.8676, 0.7357], [0.4889, 0.1324, 0.2643], [0.4430, 0.4430, 0.8411], [0.8676, 0.5111, 0.7357]]
}